Nd7Ga2Si2 after structural relaxation, computed with GGA-PBE.

Properties
**Size of the total moment**: 0.00 μB per cell
**Mass density**: 6243 kg/m3
**Raw formation energy**: -198 meV/atom

POSCAR file:
```
Nd7Ga2Si2
1.0
-6.616 1.212 0.692
-0.960 -1.032 -7.371
1.334 -6.587 0.748
Nd Ga Si
7 2 2
Direct
0.000 0.293 0.500
0.500 0.707 0.000
0.000 0.707 0.500
0.500 0.293 0.000
0.000 0.000 0.000
0.500 0.739 0.500
0.500 0.261 0.500
0.712 0.000 0.288
0.288 0.000 0.712
0.841 0.500 0.841
0.159 0.500 0.159
```